Computed, not measured: Y2AgSnRu after structural relaxation at the PBE level of DFT.

It has space group P4/mmm (No. 123), with a = 5.635 Å, b = 5.635 Å, c = 4.979 Å, α = 90.00°, β = 90.00° and γ = 90.00°. Symmetry generates all atoms from Y at (0.000, 0.500, 0.000), Ag at (0.000, 0.000, 0.500), Sn at (0.500, 0.500, 0.000) and Ru at (0.500, 0.500, 0.500).

The theoretical density is 5.31 g cm⁻³. For the formation energy, the calculation gives 635 meV/atom. For the total magnetic moment, the calculation gives 0.000 μB per atom.